DFT (PBE) results for an optimized crystal structure of K4Ca3Br10.

Calculated values
SG: I4/mmm
Uncorrected formation energy, eV/atom: -1.87
V, Å³/cell: 640
Magnetization, μB/cell: 0.00

a b c (Å): 20.0662 20.0662 20.0662
angles (deg): 163.65 163.65 23.21
With the nearest neighbours (Å) after each atom.
Fractional coordinates of all 17 atoms:
K 0.0688 0.0688 0.0000  12 Br 3.93-4.08
K 0.2003 0.2003 0.0000  1 Br 3.21
K 0.7997 0.7997 0.0000  1 Br 3.21
K 0.9312 0.9312 0.0000  12 Br 3.93-4.08
Ca 0.3534 0.3534 0.0000  6 Br 2.81-2.91
Ca 0.5000 0.5000 0.0000  6 Br 2.85
Ca 0.6466 0.6466 0.0000  6 Br 2.81-2.91
Br 0.0000 0.5000 0.5000  2 Ca 2.85
Br 0.1429 0.6429 0.5000  2 Ca 2.86
Br 0.2820 0.2820 0.0000  1 Ca 2.81
Br 0.3571 0.8571 0.5000  2 Ca 2.86
Br 0.4276 0.4276 0.0000  2 Ca 2.85-2.91
Br 0.5000 0.0000 0.5000  2 Ca 2.85
Br 0.5724 0.5724 0.0000  2 Ca 2.85-2.91
Br 0.6429 0.1429 0.5000  2 Ca 2.86
Br 0.7180 0.7180 0.0000  1 Ca 2.81
Br 0.8571 0.3571 0.5000  2 Ca 2.86

DFT (PBE) results for an optimized crystal structure of NpIrOs.

Calculated values
Excess energy over the best structure of this formula in the dataset, eV per formula unit: 0.74
DFT formation energy, eV per atom: 0.281
SG: I4mm
V, Å³/cell: 53
Magnetization, μB/cell: 1.70

a b c (Å): 5.1143 5.1143 5.1143
angles (deg): 140.83 140.83 56.59
With the nearest neighbours (Å) after each atom.
Fractional coordinates of all 3 atoms:
Np 0.0000 0.0000 0.0000  5 Os 2.81-3.09, 5 Ir 2.85-3.01
Ir 0.3344 0.3344 0.0000  5 Np 2.85-3.01, 5 Os 2.90-2.91
Os 0.6567 0.6567 0.0000  5 Np 2.81-3.09, 5 Ir 2.90-2.91

DFT (PBE) results for an optimized crystal structure of LaPu2Tc.

Calculated values
Excess energy over the best structure of this formula in the dataset, eV per formula unit: 1.62
DFT formation energy, eV per atom: 0.526
SG: R-3m
V, Å³/cell: 96
Magnetization, μB/cell: 0.00

a b c (Å): 6.0892 6.0892 6.0892
angles (deg): 43.28 43.28 43.28
With the nearest neighbours (Å) after each atom.
Fractional coordinates of all 4 atoms:
La 0.0000 0.0000 0.0000  2 Pu 2.86
Pu 0.1731 0.1731 0.1731  3 Tc 2.59, 3 Pu 2.60, 1 La 2.86
Pu 0.8269 0.8269 0.8269  3 Tc 2.59, 3 Pu 2.60, 1 La 2.86
Tc 0.5000 0.5000 0.5000  6 Pu 2.59

DFT (PBE) results for an optimized crystal structure of MgRh2.

Calculated values
DFT formation energy, eV per atom: -0.276
SG: Cm
V, Å³/cell: 89
Magnetization, μB/cell: 0.00

a b c (Å): 5.1633 5.1633 6.5725
angles (deg): 102.50 102.50 31.53
With the nearest neighbours (Å) after each atom.
Fractional coordinates of all 6 atoms:
Mg 0.0000 0.0000 0.0000  8 Rh 2.65-2.74, 2 Mg 2.81
Mg 0.6842 0.6842 0.3605  8 Rh 2.68-2.75, 4 Mg 2.81-3.00
Rh 0.0600 0.0600 0.6264  3 Mg 2.65-2.74, 9 Rh 2.69-2.82
Rh 0.3366 0.3366 0.6782  4 Mg 2.68-2.74, 8 Rh 2.69-2.81
Rh 0.4030 0.4030 0.2927  5 Mg 2.71-2.73, 7 Rh 2.76-2.83
Rh 0.7286 0.7286 0.9618  4 Mg 2.65-2.75, 8 Rh 2.74-2.83

DFT (PBE) results for an optimized crystal structure of LiTi2Pt2.

Calculated values
Excess energy over the best structure of this formula in the dataset, eV per formula unit: 0.18
DFT formation energy, eV per atom: -0.696
SG: P4/mbm
V, Å³/cell: 168
Magnetization, μB/cell: 0.37

a b c (Å): 7.7376 7.7376 2.8036
angles (deg): 90.00 90.00 90.00
With the nearest neighbours (Å) after each atom.
Fractional coordinates of all 10 atoms:
Li 0.0000 0.0000 0.0000  2 Li 2.80, 4 Ti 2.94
Li 0.5000 0.5000 0.0000  2 Li 2.80, 4 Ti 2.94
Ti 0.1521 0.3479 0.0000  6 Pt 2.64-2.68, 2 Ti 2.80, 2 Li 2.94
Ti 0.3479 0.8479 0.0000  6 Pt 2.64-2.68, 2 Ti 2.80, 2 Li 2.94
Ti 0.6521 0.1521 0.0000  6 Pt 2.64-2.68, 2 Ti 2.80, 2 Li 2.94
Ti 0.8479 0.6521 0.0000  6 Pt 2.64-2.68, 2 Ti 2.80, 2 Li 2.94
Pt 0.1436 0.6436 0.5000  6 Ti 2.64-2.68, 2 Pt 2.80
Pt 0.3564 0.1436 0.5000  6 Ti 2.64-2.68, 2 Pt 2.80
Pt 0.6436 0.8564 0.5000  6 Ti 2.64-2.68, 2 Pt 2.80
Pt 0.8564 0.3564 0.5000  6 Ti 2.64-2.68, 2 Pt 2.80

DFT (PBE) results for an optimized crystal structure of Be2FeRh.

Calculated values
DFT formation energy, eV per atom: -0.208
SG: I-4m2
V, Å³/cell: 43
Magnetization, μB/cell: 2.78

a b c (Å): 4.4384 4.4384 4.4384
angles (deg): 135.22 135.22 65.19
With the nearest neighbours (Å) after each atom.
Fractional coordinates of all 4 atoms:
Be 0.0000 0.0000 0.0000  4 Rh 2.39, 4 Fe 2.52, 4 Be 2.52
Be 0.7500 0.2500 0.5000  4 Fe 2.39, 4 Rh 2.52, 4 Be 2.52
Fe 0.2500 0.7500 0.5000  8 Be 2.39-2.52, 4 Rh 2.52
Rh 0.5000 0.5000 0.0000  8 Be 2.39-2.52, 4 Fe 2.52

DFT (PBE) results for an optimized crystal structure of DyTmMnHg.

Calculated values
DFT formation energy, eV per atom: -0.084
SG: F-43m
V, Å³/cell: 94
Magnetization, μB/cell: 2.99

a b c (Å): 5.1093 5.1093 5.1093
angles (deg): 60.00 60.00 60.00
With the nearest neighbours (Å) after each atom.
Fractional coordinates of all 4 atoms:
Dy 0.0000 0.0000 0.0000  4 Mn 3.13, 4 Hg 3.13
Tm 0.5000 0.5000 0.5000  4 Hg 3.13, 4 Mn 3.13
Mn 0.2500 0.2500 0.2500  4 Tm 3.13, 4 Dy 3.13
Hg 0.7500 0.7500 0.7500  4 Dy 3.13, 4 Tm 3.13

DFT (PBE) results for an optimized crystal structure of Ac2TmIr.

Calculated values
DFT formation energy, eV per atom: -0.018
SG: R-3m
V, Å³/cell: 158
Magnetization, μB/cell: 0.62

a b c (Å): 11.2057 11.2057 11.2057
angles (deg): 21.00 21.00 21.00
With the nearest neighbours (Å) after each atom.
Fractional coordinates of all 4 atoms:
Ac 0.1137 0.1137 0.1137  3 Ir 2.93
Ac 0.8863 0.8863 0.8863  3 Ir 2.93
Tm 0.0000 0.0000 0.0000  2 Ac 3.74, 6 Tm 4.08
Ir 0.5000 0.5000 0.5000  6 Ac 2.93

DFT (PBE) results for an optimized crystal structure of BaCa2Pt.

Calculated values
Excess energy over the best structure of this formula in the dataset, eV per formula unit: 2.19
DFT formation energy, eV per atom: -0.016
SG: C2/m
V, Å³/cell: 133
Magnetization, μB/cell: 0.00

a b c (Å): 6.8601 6.8601 4.1015
angles (deg): 106.66 106.66 121.66
With the nearest neighbours (Å) after each atom.
Fractional coordinates of all 4 atoms:
Ba 0.0000 0.0000 0.0000  4 Pt 3.34-3.45, 4 Ca 3.46
Ca 0.0000 0.5000 0.5000  4 Ca 3.34-3.45, 2 Ba 3.46, 2 Pt 3.46
Ca 0.5000 0.0000 0.5000  4 Ca 3.34-3.45, 2 Ba 3.46, 2 Pt 3.46
Pt 0.5000 0.5000 0.0000  4 Ba 3.34-3.45, 4 Ca 3.46

DFT (PBE) results for an optimized crystal structure of HfMnIr2.

Calculated values
DFT formation energy, eV per atom: -0.607
SG: Fm-3m
V, Å³/cell: 64
Magnetization, μB/cell: 4.90

a b c (Å): 4.4941 4.4941 4.4941
angles (deg): 60.00 60.00 60.00
With the nearest neighbours (Å) after each atom.
Fractional coordinates of all 4 atoms:
Hf 0.0000 0.0000 0.0000  8 Ir 2.75
Mn 0.5000 0.5000 0.5000  8 Ir 2.75
Ir 0.2500 0.2500 0.2500  4 Hf 2.75, 4 Mn 2.75
Ir 0.7500 0.7500 0.7500  4 Hf 2.75, 4 Mn 2.75

DFT (PBE) results for an optimized crystal structure of CeAl2ZnAu.

Calculated values
DFT formation energy, eV per atom: -0.489
SG: I-4m2
V, Å³/cell: 100
Magnetization, μB/cell: 0.55

a b c (Å): 6.1056 6.1056 6.1056
angles (deg): 138.19 138.19 60.61
With the nearest neighbours (Å) after each atom.
Fractional coordinates of all 5 atoms:
Ce 0.0000 0.0000 0.0000  8 Al 3.33, 4 Zn 3.42, 4 Au 3.42
Al 0.3802 0.3802 0.0000  1 Al 2.53, 2 Zn 2.57, 2 Au 2.57
Al 0.6198 0.6198 0.0000  1 Al 2.53, 2 Au 2.57, 2 Zn 2.57
Zn 0.2500 0.7500 0.5000  4 Al 2.57
Au 0.7500 0.2500 0.5000  4 Al 2.57

DFT (PBE) results for an optimized crystal structure of TbPm2Tc.

Calculated values
Excess energy over the best structure of this formula in the dataset, eV per formula unit: 0.00
DFT formation energy, eV per atom: -0.025
SG: Pnma
V, Å³/cell: 453
Magnetization, μB/cell: 0.00

a b c (Å): 7.4502 9.4889 6.4111
angles (deg): 90.00 90.00 90.00
With the nearest neighbours (Å) after each atom.
Fractional coordinates of all 16 atoms:
Tb 0.0464 0.2500 0.1355  2 Tc 2.78-2.81
Tb 0.4536 0.7500 0.6355  2 Tc 2.78-2.81
Tb 0.5464 0.2500 0.3645  2 Tc 2.78-2.81
Tb 0.9536 0.7500 0.8645  2 Tc 2.78-2.81
Pm 0.1773 0.0647 0.6657  2 Tc 2.89-3.05
Pm 0.1773 0.4353 0.6657  2 Tc 2.89-3.05
Pm 0.3227 0.5647 0.1657  2 Tc 2.89-3.05
Pm 0.3227 0.9353 0.1657  2 Tc 2.89-3.05
Pm 0.6773 0.0647 0.8343  2 Tc 2.89-3.05
Pm 0.6773 0.4353 0.8343  2 Tc 2.89-3.05
Pm 0.8227 0.5647 0.3343  2 Tc 2.89-3.05
Pm 0.8227 0.9353 0.3343  2 Tc 2.89-3.05
Tc 0.1099 0.7500 0.4650  2 Tb 2.78-2.81, 4 Pm 2.89-3.05
Tc 0.3901 0.2500 0.9650  2 Tb 2.78-2.81, 4 Pm 2.89-3.05
Tc 0.6099 0.7500 0.0350  2 Tb 2.78-2.81, 4 Pm 2.89-3.05
Tc 0.8901 0.2500 0.5350  2 Tb 2.78-2.81, 4 Pm 2.89-3.05